No. 1
DFT (PBE) results for a relaxed LaCuIO2 crystal.

Properties
raw total energy	-4.88	eV/atom
ΔE to the lowest computed polymorph	304	meV per atom
total magnetic moment	0.0	μB per formula unit
DOS at the Fermi energy	0.326	states/eV per atom
E_form (uncorrected)	-0.778	eV per atom
mass density	6.64	g cm⁻³

a b c (Å): 4.3757 4.3757 4.7216
angles (deg): 90.00 90.00 90.00
Element x y z (fractional)
I 0.0000 0.0000 0.5000
O 0.0000 0.5000 0.0000
O 0.5000 0.0000 0.0000
Cu 0.0000 0.0000 0.0000
La 0.5000 0.5000 0.5000

=====

No. 2
DFT (PBE) results for a relaxed LaCuIO2 crystal.

Properties
raw total energy	-4.38	eV/atom
ΔE to the lowest computed polymorph	803	meV per atom
total magnetic moment	0.0	μB per formula unit
DOS at the Fermi energy	0.497	states/eV per atom
E_form (uncorrected)	-0.279	eV per atom
mass density	6.33	g cm⁻³

a b c (Å): 4.4338 4.8219 4.4338
angles (deg): 90.00 90.00 90.00
Element x y z (fractional)
I 0.0000 0.0000 0.0000
O 0.0000 0.0000 0.5000
O 0.5000 0.0000 0.0000
Cu 0.0000 0.5000 0.0000
La 0.5000 0.5000 0.5000